5
Lattice="4.987 0.000 0.000 0.000 4.987 0.000 0.000 0.000 4.987" Properties=species:S:1:pos:R:3 comment="Cr3MoPb | Alexandria via LeMat-Bulk | meta-GGA SCAN | PBEsol geometry" e_form_ev_per_atom=1.66 energy_ev_per_cell=-157.51 spacegroup="No. 221" pbc="T T T"
Cr 2.494 0.000 0.000
Cr 0.000 0.000 2.494
Cr 0.000 2.494 0.000
Pb 0.000 0.000 0.000
Mo 2.494 2.494 2.494